Entry 1:
Entry from Alexandria via LeMat-Bulk: a geometry-optimized Tb3Mg2Pb structure (PBE).

a b c (Å): 4.094 5.148 15.687
angles (deg): 90.00 90.00 90.00
Fractional positions:
Tb  0.500  0.500  0.667
Tb  0.500  0.000  0.500
Tb  0.500  0.500  0.333
Tb  0.500  0.000  0.167
Tb  0.500  0.500  0.000
Tb  0.500  0.000  0.833
Mg  0.000  0.000  0.674
Mg  0.000  0.000  0.326
Mg  0.000  0.500  0.174
Mg  0.000  0.500  0.826
Pb  0.000  0.500  0.500
Pb  0.000  0.000  0.000

Summary:
DOS at the Fermi energy: 0.810 states/eV per atom
calculated total energy: -3.706 eV/atom

Entry 2:
Entry from Alexandria via LeMat-Bulk: a geometry-optimized CaInPb structure (PBE).

a b c (Å): 4.939 6.620 6.620
angles (deg): 97.79 68.10 68.10
Fractional positions:
Ca  0.750  0.250  0.250
Ca  0.250  0.750  0.750
In  0.500  0.846  0.154
In  0.500  0.154  0.846
Pb  0.000  0.333  0.667
Pb  0.000  0.667  0.333

Summary:
DOS at the Fermi energy: 0.312 states/eV per atom
calculated total energy: -3.143 eV/atom

Entry 3:
Entry from Alexandria via LeMat-Bulk: a geometry-optimized ZrAlCu structure (PBE).

a b c (Å): 3.886 6.778 3.887
angles (deg): 90.00 90.00 90.01
Last column: magnetic moment on the atom in μB.
Fractional positions:
Zr  0.599  0.533  0.474  0.21
Zr  0.099  0.250  0.974  0.21
Al  0.099  0.892  0.474  0.00
Al  0.599  0.892  0.974  0.00
Cu  0.599  0.130  0.474  0.04
Cu  0.099  0.654  0.974  0.04

Summary:
DOS at the Fermi energy: 0.852 states/eV per atom
calculated total energy: -5.769 eV/atom

Entry 4:
Entry from Alexandria via LeMat-Bulk: a geometry-optimized Pm2MgGePd6 structure (PBE).

a b c (Å): 5.571 8.920 6.634
angles (deg): 46.18 65.16 89.98
Fractional positions:
Pm  0.753  0.250  0.496
Pm  0.247  0.750  0.504
Mg  0.000  0.000  0.000
Ge  0.500  0.500  0.000
Pd  0.249  0.070  0.504
Pd  0.693  0.687  0.112
Pd  0.197  0.687  0.112
Pd  0.803  0.313  0.888
Pd  0.307  0.313  0.888
Pd  0.751  0.930  0.496

Summary:
DOS at the Fermi energy: 0.452 states/eV per atom
calculated total energy: -5.318 eV/atom